[1]
# Li5VSi2O8 (SCAN, PBEsol geometry)
# Density of states at the Fermi level in states/eV/cell: 0.00
# Space-group type: C2
data_Li5VSi2O8
_chemical_formula_sum 'Li5 V1 Si2 O8'
_cell_length_a 5.194
_cell_length_b 5.194
_cell_length_c 6.223
_cell_angle_alpha 90.58
_cell_angle_beta 90.58
_cell_angle_gamma 91.49
_symmetry_space_group_name_H-M 'P 1'
_symmetry_Int_Tables_number 1
loop_
_symmetry_equiv_pos_as_xyz
'x,y,z'
loop_
_atom_site_label
_atom_site_fract_x
_atom_site_fract_y
_atom_site_fract_z
Li1 0.000 0.000 0.000
Li2 0.353 0.647 0.000
Li3 0.511 0.118 0.238
Li4 0.882 0.489 0.762
Li5 0.986 0.014 0.500
V1 0.361 0.639 0.500
Si1 0.512 0.135 0.756
Si2 0.865 0.488 0.244
O1 0.376 0.008 0.531
O2 0.376 0.015 0.965
O3 0.461 0.456 0.741
O4 0.544 0.539 0.259
O5 0.821 0.118 0.749
O6 0.882 0.179 0.251
O7 0.985 0.624 0.035
O8 0.992 0.624 0.469

=====

[2]
# Li4V2SiO8 (SCAN, PBEsol geometry)
# Space-group type: P2_1/c
data_Li4V2SiO8
_chemical_formula_sum 'Li16 V8 Si4 O32'
_cell_length_a 8.182
_cell_length_b 10.709
_cell_length_c 8.071
_cell_angle_alpha 90.00
_cell_angle_beta 103.89
_cell_angle_gamma 90.00
_symmetry_space_group_name_H-M 'P 1'
_symmetry_Int_Tables_number 1
loop_
_symmetry_equiv_pos_as_xyz
'x,y,z'
loop_
_atom_site_label
_atom_site_fract_x
_atom_site_fract_y
_atom_site_fract_z
Li1 0.041 0.081 0.283
Li2 0.041 0.419 0.783
Li3 0.100 0.167 0.598
Li4 0.100 0.333 0.098
Li5 0.171 0.664 0.670
Li6 0.171 0.836 0.170
Li7 0.358 0.163 0.344
Li8 0.358 0.337 0.844
Li9 0.642 0.663 0.156
Li10 0.642 0.837 0.656
Li11 0.829 0.164 0.830
Li12 0.829 0.336 0.330
Li13 0.900 0.667 0.902
Li14 0.900 0.833 0.402
Li15 0.959 0.581 0.217
Li16 0.959 0.919 0.717
V1 0.205 0.086 0.967
V2 0.205 0.414 0.467
V3 0.264 0.588 0.048
V4 0.264 0.912 0.548
V5 0.736 0.088 0.452
V6 0.736 0.412 0.952
V7 0.795 0.586 0.533
V8 0.795 0.914 0.033
Si1 0.416 0.664 0.423
Si2 0.416 0.836 0.923
Si3 0.584 0.164 0.077
Si4 0.584 0.336 0.577
O1 0.036 0.086 0.790
O2 0.036 0.414 0.290
O3 0.099 0.666 0.095
O4 0.099 0.834 0.595
O5 0.166 0.160 0.141
O6 0.166 0.340 0.641
O7 0.241 0.064 0.483
O8 0.241 0.436 0.983
O9 0.280 0.580 0.497
O10 0.280 0.920 0.997
O11 0.341 0.693 0.896
O12 0.341 0.807 0.396
O13 0.400 0.166 0.938
O14 0.400 0.334 0.438
O15 0.446 0.614 0.240
O16 0.446 0.886 0.740
O17 0.554 0.114 0.260
O18 0.554 0.386 0.760
O19 0.600 0.666 0.562
O20 0.600 0.834 0.062
O21 0.659 0.193 0.604
O22 0.659 0.307 0.104
O23 0.720 0.080 0.003
O24 0.720 0.420 0.503
O25 0.759 0.564 0.017
O26 0.759 0.936 0.517
O27 0.834 0.660 0.359
O28 0.834 0.840 0.859
O29 0.901 0.166 0.405
O30 0.901 0.334 0.905
O31 0.964 0.586 0.710
O32 0.964 0.914 0.210

=====

no.,total energy (eV/atom),formation energy (no corrections) (meV per atom),magnetic moment (μB/cell)
1,-8.87,-2658,2.00
2,-9.55,-2589,8.00